(1)
CuIrOsF | Alexandria via LeMat-Bulk | PBE | optimized geometry; space group = Amm2; volume = 13.8 Å³ per atom; total magnetization = 0.00 μB/atom; formation energy without anion corrections = -288.4 meV per atom; Fermi-level density of states = 2.2 states/eV/f.u.; DFT total energy = -0.2500 hartree per atom
1.0
2.724 0.000 0.000
0.000 1.362 7.421
0.000 -1.362 7.421
Cu Ir Os F
1 1 1 1
Direct
0.000 0.000 0.000 Cu
0.500 0.374 0.374 Ir
0.000 0.755 0.755 Os
0.000 0.618 0.618 F

---

(2)
CuIrOsF | Alexandria via LeMat-Bulk | PBE | optimized geometry; space group = Pmm2; volume = 13.9 Å³ per atom; total magnetization = 0.00 μB/atom; formation energy without anion corrections = -77.9 meV per atom; Fermi-level density of states = 2.9 states/eV/f.u.; DFT total energy = -0.2423 hartree per atom
1.0
2.620 0.000 0.000
0.000 2.720 0.000
0.000 0.000 7.797
Cu Ir Os F
1 1 1 1
Direct
0.000 0.000 0.000 Cu
0.500 0.500 0.246 Ir
0.500 0.000 0.516 Os
0.500 0.000 0.787 F

---

(3)
CuIrOsF | Alexandria via LeMat-Bulk | PBE | optimized geometry; space group = Pmm2; volume = 16.5 Å³ per atom; total magnetization = 0.00 μB/atom; formation energy without anion corrections = -204.6 meV per atom; Fermi-level density of states = 1.5 states/eV/f.u.; DFT total energy = -0.2469 hartree per atom
1.0
2.722 0.000 0.000
0.000 3.736 0.000
0.000 0.000 6.504
Cu Ir Os F
1 1 1 1
Direct
0.000 0.000 0.000 Cu
0.500 0.500 0.225 Ir
0.000 0.000 0.387 Os
0.000 0.000 0.697 F

---

(4)
CuIrOsF | Alexandria via LeMat-Bulk | PBE | optimized geometry; space group = P1; volume = 13.0 Å³ per atom; total magnetization = 0.00 μB/atom; formation energy without anion corrections = -349.1 meV per atom; Fermi-level density of states = 2.1 states/eV/f.u.; DFT total energy = -0.2522 hartree per atom
1.0
2.736 0.000 0.000
1.367 2.371 0.000
1.356 0.169 8.032
Cu Ir Os F
1 1 1 1
Direct
0.000 0.000 0.000 Cu
0.777 0.712 0.733 Ir
0.230 0.068 0.472 Os
0.346 0.090 0.216 F

---

(5)
CuIrOsF | Alexandria via LeMat-Bulk | PBE | optimized geometry; space group = Pm; volume = 16.0 Å³ per atom; total magnetization = 0.00 μB/atom; formation energy without anion corrections = -194.6 meV per atom; Fermi-level density of states = 1.3 states/eV/f.u.; DFT total energy = -0.2466 hartree per atom
1.0
2.715 0.000 0.000
0.000 3.745 0.000
-1.333 0.000 6.313
Cu Ir Os F
1 1 1 1
Direct
0.000 0.000 0.000 Cu
0.385 0.500 0.765 Ir
0.803 0.000 0.598 Os
0.643 0.000 0.274 F

---

(6)
CuIrOsF | Alexandria via LeMat-Bulk | PBE | optimized geometry; space group = P1; volume = 16.1 Å³ per atom; total magnetization = 0.00 μB/atom; formation energy without anion corrections = 243.9 meV per atom; Fermi-level density of states = 1.8 states/eV/f.u.; DFT total energy = -0.2304 hartree per atom
1.0
3.753 0.000 0.000
1.536 3.424 0.000
0.919 0.558 5.022
Cu Ir Os F
1 1 1 1
Direct
0.000 0.000 0.000 Cu
0.715 0.720 0.665 Ir
0.101 0.103 0.494 Os
0.356 0.354 0.160 F